1.
Mg6VCd: relaxed, GGA-PBE.

## Properties
M_tot: 3.39 μB/f.u.
energy above the most stable polymorph in this dataset: 3 meV/atom
volume: 21.3 A^3/atom
total energy: -2.334 eV per atom

a = 6.2222 Å, b = 6.2222 Å, c = 5.0600 Å
α = 90.00°, β = 90.00°, γ = 119.73°
Last column: magnetic moment on the atom in μB.
Fractional coordinates of all 8 atoms:
Mg1 0.1682 0.3362 0.0000  -0.01
Mg2 0.6638 0.8318 0.0000  -0.01
Mg3 0.6648 0.3352 0.0000  -0.01
Mg4 0.3303 0.1541 0.5000  0.00
Mg5 0.8459 0.6697 0.5000  0.00
Mg6 0.8341 0.1659 0.5000  0.01
V1 0.1634 0.8366 0.0000  2.65
Cd1 0.3297 0.6703 0.5000  0.00

***

2.
MgVCd3: relaxed, GGA-PBE.

## Properties
M_tot: 3.75 μB/f.u.
energy above the most stable polymorph in this dataset: 214 meV/atom
volume: 27.3 A^3/atom
total energy: -1.759 eV per atom

a = 5.1460 Å, b = 5.1460 Å, c = 5.1460 Å
α = 90.00°, β = 90.00°, γ = 90.00°
Last column: magnetic moment on the atom in μB.
Fractional coordinates of all 5 atoms:
Mg1 0.0000 0.0000 0.0000  -0.01
Cd1 0.0000 0.5000 0.0000  -0.01
Cd2 0.0000 0.0000 0.5000  -0.01
Cd3 0.5000 0.0000 0.0000  -0.01
V1 0.5000 0.5000 0.5000  3.05

***

3.
Mg3VCd: relaxed, GGA-PBE.

## Properties
M_tot: 3.92 μB/f.u.
energy above the most stable polymorph in this dataset: 0 meV/atom
volume: 27.2 A^3/atom
total energy: -2.159 eV per atom

a = 5.1453 Å, b = 5.1453 Å, c = 5.1453 Å
α = 90.00°, β = 90.00°, γ = 90.00°
Last column: magnetic moment on the atom in μB.
Fractional coordinates of all 5 atoms:
Mg1 0.0000 0.5000 0.0000  -0.01
Mg2 0.0000 0.0000 0.5000  -0.01
Mg3 0.5000 0.0000 0.0000  -0.01
Cd1 0.0000 0.0000 0.0000  -0.03
V1 0.5000 0.5000 0.5000  3.07